Record 1
Below is crystalline InSbRh3 at its relaxed geometry, with properties calculated at the GGA-PBE level.

Unit cell a=4.813 b=4.813 c=4.813 alpha=90.00 beta=90.00 gamma=90.00
Positions (direct):
Sb  0.000  0.000  0.000
Rh  0.000  0.500  0.000
Rh  0.000  0.000  0.500
Rh  0.500  0.000  0.000
In  0.500  0.500  0.500

Symmetry = No. 221
Crystal system = cubic
ΔE to the lowest computed polymorph = 0 meV per atom

Record 2
Below is crystalline InSb12Rh4 at its relaxed geometry, with properties calculated at the GGA-PBE level.

Unit cell a=8.161 b=8.161 c=8.161 alpha=109.47 beta=109.47 gamma=109.47
Positions (direct):
In  0.000  0.000  0.000
Sb  0.845  0.339  0.184
Sb  0.339  0.495  0.155
Sb  0.816  0.155  0.661
Sb  0.339  0.184  0.845
Sb  0.184  0.845  0.339
Sb  0.661  0.505  0.845
Sb  0.495  0.155  0.339
Sb  0.505  0.845  0.661
Sb  0.661  0.816  0.155
Sb  0.845  0.661  0.505
Sb  0.155  0.339  0.495
Sb  0.155  0.661  0.816
Rh  0.000  0.500  0.000
Rh  0.500  0.000  0.000
Rh  0.500  0.500  0.500
Rh  0.000  0.000  0.500

Symmetry = No. 204
Crystal system = cubic

Record 3
Below is crystalline InSb3Rh at its relaxed geometry, with properties calculated at the GGA-PBE level.

Unit cell a=5.215 b=5.215 c=5.215 alpha=90.00 beta=90.00 gamma=90.00
Positions (direct):
Sb  0.000  0.500  0.000
Sb  0.000  0.000  0.500
Sb  0.500  0.000  0.000
Rh  0.000  0.000  0.000
In  0.500  0.500  0.500

Symmetry = No. 221
Crystal system = cubic
ΔE to the lowest computed polymorph = 0 meV per atom

Record 4
Below is crystalline ScInSbRh2 at its relaxed geometry, with properties calculated at the GGA-PBE level.

Unit cell a=4.854 b=5.229 c=4.854 alpha=90.00 beta=90.00 gamma=90.00
Positions (direct):
Sc  0.000  0.500  0.000
Sb  0.500  0.500  0.500
Rh  0.000  0.000  0.500
Rh  0.500  0.000  0.000
In  0.000  0.000  0.000

Symmetry = No. 123
Crystal system = tetragonal

Record 5
Below is crystalline Sm2InSb3Rh4 at its relaxed geometry, with properties calculated at the GGA-PBE level.

Unit cell a=4.412 b=4.412 c=10.945 alpha=90.00 beta=90.00 gamma=90.00
Positions (direct):
Sm  0.500  0.000  0.249
Sm  0.000  0.500  0.751
In  0.500  0.500  0.500
Sb  0.000  0.000  0.500
Sb  0.500  0.000  0.868
Sb  0.000  0.500  0.132
Rh  0.500  0.500  0.000
Rh  0.000  0.000  0.000
Rh  0.500  0.000  0.637
Rh  0.000  0.500  0.363

Symmetry = No. 115
Crystal system = tetragonal

Record 6
Below is crystalline InSn2SbRh at its relaxed geometry, with properties calculated at the GGA-PBE level.

Unit cell a=5.149 b=5.296 c=5.149 alpha=90.00 beta=90.00 gamma=90.00
Positions (direct):
Sb  0.000  0.500  0.000
Rh  0.000  0.000  0.000
Sn  0.000  0.000  0.500
Sn  0.500  0.000  0.000
In  0.500  0.500  0.500

Symmetry = No. 123
Crystal system = tetragonal

Record 7
Below is crystalline Tb2InSb2Rh5 at its relaxed geometry, with properties calculated at the GGA-PBE level.

Unit cell a=3.514 b=10.531 c=10.531 alpha=90.00 beta=90.00 gamma=90.00
Positions (direct):
Tb  0.000  0.668  0.168
Tb  0.000  0.332  0.832
Tb  0.000  0.168  0.332
Tb  0.000  0.832  0.668
In  0.000  0.000  0.000
In  0.000  0.500  0.500
Sb  0.000  0.134  0.634
Sb  0.000  0.866  0.366
Sb  0.000  0.634  0.866
Sb  0.000  0.366  0.134
Rh  0.500  0.209  0.028
Rh  0.500  0.791  0.972
Rh  0.500  0.028  0.791
Rh  0.500  0.709  0.472
Rh  0.500  0.972  0.209
Rh  0.500  0.291  0.528
Rh  0.500  0.528  0.709
Rh  0.500  0.472  0.291
Rh  0.500  0.500  0.000
Rh  0.500  0.000  0.500

Symmetry = No. 127
Crystal system = tetragonal

Record 8
Below is crystalline InSb2TeRh at its relaxed geometry, with properties calculated at the GGA-PBE level.

Unit cell a=5.061 b=5.061 c=5.784 alpha=90.00 beta=90.00 gamma=90.00
Positions (direct):
Sb  0.000  0.500  0.000
Sb  0.500  0.000  0.000
Te  0.000  0.000  0.500
Rh  0.000  0.000  0.000
In  0.500  0.500  0.500

Symmetry = No. 123
Crystal system = tetragonal
ΔE to the lowest computed polymorph = 0 meV per atom

Energy relative to the elements, uncorrected: 0.617; -0.358; 0.253; 0.696; -0.753; 0.061; -0.581; 0.198 (eV per atom)